# YMoN3

A relaxed structure of YMoN3 (GGA-PBE, Alexandria).

Properties
Its symmetry is No. 1.

Cell lengths 3.583, 6.093, 7.383 Å; angles 67.26, 82.73, 83.99 degrees
Element x y z (fractional)
Y1 0.000 0.000 0.000
Y2 0.446 0.557 0.435
Mo1 0.505 0.574 0.905
Mo2 0.806 0.973 0.557
N1 0.007 0.692 0.786
N2 0.233 0.116 0.618
N3 0.477 0.691 0.104
N4 0.481 0.255 0.962
N5 0.895 0.862 0.362
N6 0.973 0.303 0.508

# Ac2Ce3PuSe6

A relaxed structure of Ac2Ce3PuSe6 (GGA-PBE, Alexandria).

Properties
Its symmetry is No. 12.

Cell lengths 9.617, 9.617, 8.635 Å; angles 103.49, 103.49, 25.69 degrees
Element x y z (fractional)
Ac1 0.165 0.165 0.332
Ac2 0.835 0.835 0.668
Ce1 0.169 0.169 0.836
Ce2 0.500 0.500 0.500
Ce3 0.831 0.831 0.164
Pu1 0.500 0.500 0.000
Se1 0.005 0.005 0.757
Se2 0.336 0.336 0.407
Se3 0.336 0.336 0.929
Se4 0.664 0.664 0.071
Se5 0.664 0.664 0.593
Se6 0.995 0.995 0.243

Formation energy from raw total energies (computed, eV per atom): -0.666 -1.768